[1]
Computed, not measured: a geometry-optimized Si3SbAs structure at the PBE-GGA level of DFT.

Output
E = -4.098 eV per atom
magnetization = 0.000 μB/f.u.
uncorrected formation energy = 0.910 eV/atom
energy relative to the lowest polymorph listed for this composition = 0 meV/atom

Cell: 4.8560 4.8560 4.8560 Å, 90.00 90.00 90.00°
Fractional coordinates of all 5 atoms:
Si 0.0000 0.0000 0.5000
Si 0.0000 0.5000 0.0000
Si 0.5000 0.0000 0.0000
Sb 0.5000 0.5000 0.5000
As 0.0000 0.0000 0.0000

=====

[2]
Computed, not measured: a geometry-optimized Si2SbAs structure at the PBE-GGA level of DFT.

Output
E = -4.322 eV per atom
magnetization = 0.000 μB/f.u.
uncorrected formation energy = 0.582 eV/atom
energy relative to the lowest polymorph listed for this composition = 391 meV/atom

Cell: 5.6520 5.6520 2.9391 Å, 99.29 99.29 118.60°
Fractional coordinates of all 4 atoms:
Si 0.0000 0.5000 0.0000
Si 0.5000 0.0000 0.0000
Sb 0.0000 0.0000 0.5000
As 0.5000 0.5000 0.5000

=====

[3]
Computed, not measured: a geometry-optimized SiSbAs2 structure at the PBE-GGA level of DFT.

Output
E = -4.541 eV per atom
magnetization = 0.000 μB/f.u.
uncorrected formation energy = 0.170 eV/atom
energy relative to the lowest polymorph listed for this composition = 53 meV/atom

Cell: 3.8958 3.8958 5.9821 Å, 90.00 90.00 90.00°
Fractional coordinates of all 4 atoms:
Si 0.0000 0.0000 0.0000
Sb 0.5000 0.5000 0.5049
As 0.0000 0.0000 0.4097
As 0.5000 0.5000 0.9564

=====

[4]
Computed, not measured: a geometry-optimized Si2SbAs structure at the PBE-GGA level of DFT.

Output
E = -4.343 eV per atom
magnetization = 0.000 μB/f.u.
uncorrected formation energy = 0.562 eV/atom
energy relative to the lowest polymorph listed for this composition = 371 meV/atom

Cell: 4.7351 4.7351 3.4199 Å, 90.00 90.00 90.00°
Fractional coordinates of all 4 atoms:
Si 0.0000 0.5000 0.0000
Si 0.5000 0.0000 0.0000
Sb 0.0000 0.0000 0.5000
As 0.5000 0.5000 0.5000

=====

[5]
Computed, not measured: a geometry-optimized SiSbAs2 structure at the PBE-GGA level of DFT.

Output
E = -4.532 eV per atom
magnetization = 0.000 μB/f.u.
uncorrected formation energy = 0.179 eV/atom
energy relative to the lowest polymorph listed for this composition = 62 meV/atom

Cell: 6.9648 6.9648 6.9648 Å, 32.56 32.56 32.56°
Fractional coordinates of all 4 atoms:
Si 0.0000 0.0000 0.0000
Sb 0.2594 0.2594 0.2594
As 0.4884 0.4884 0.4884
As 0.7500 0.7500 0.7500

=====

[6]
Computed, not measured: a geometry-optimized SiSb3As structure at the PBE-GGA level of DFT.

Output
E = -3.716 eV per atom
magnetization = 0.000 μB/f.u.
uncorrected formation energy = 0.772 eV/atom
energy relative to the lowest polymorph listed for this composition = 0 meV/atom

Cell: 5.1743 5.1743 5.1743 Å, 90.00 90.00 90.00°
Fractional coordinates of all 5 atoms:
Si 0.0000 0.0000 0.0000
Sb 0.0000 0.0000 0.5000
Sb 0.0000 0.5000 0.0000
Sb 0.5000 0.0000 0.0000
As 0.5000 0.5000 0.5000